1.
ScInPb2, optimized geometry, DFT PBE; E_form = -0.046 eV per atom; crystal system = trigonal; density of states at the Fermi level = 2.907 states/eV/cell
1.0
1.797 1.038 9.915
-1.797 1.038 9.915
0.000 -2.075 9.915
Sc In Pb
1 1 2
Direct
0.000 0.000 0.000
0.500 0.500 0.500
0.253 0.253 0.253
0.747 0.747 0.747

***

2.
ScIn2Pb, optimized geometry, DFT PBE; E_form = -0.116 eV per atom; crystal system = tetragonal; density of states at the Fermi level = 3.415 states/eV/cell
1.0
4.079 0.000 0.000
0.000 4.079 0.000
0.000 0.000 6.166
Sc In Pb
1 2 1
Direct
0.000 0.000 0.000
0.500 0.500 0.241
0.500 0.500 0.759
0.000 0.000 0.500

***

3.
ScInPb2, optimized geometry, DFT PBE; E_form = -0.149 eV per atom; crystal system = tetragonal; density of states at the Fermi level = 2.146 states/eV/cell
1.0
-2.247 2.247 5.198
2.247 -2.247 5.198
2.247 2.247 -5.198
Sc In Pb
1 1 2
Direct
0.000 0.000 0.000
0.250 0.750 0.500
0.500 0.500 0.000
0.750 0.250 0.500

***

4.
ScInPb3, optimized geometry, DFT PBE; energy above the most stable polymorph in this dataset = 0 meV per atom; E_form = 0.243 eV per atom; crystal system = cubic; density of states at the Fermi level = 3.043 states/eV/cell
1.0
5.631 0.000 0.000
0.000 5.631 0.000
0.000 0.000 5.631
Sc In Pb
1 1 3
Direct
0.000 0.000 0.000
0.500 0.500 0.500
0.000 0.000 0.500
0.000 0.500 0.000
0.500 0.000 0.000

***

5.
Sc6In5Pb, optimized geometry, DFT PBE; E_form = -0.410 eV per atom; crystal system = monoclinic; density of states at the Fermi level = 8.935 states/eV/cell
1.0
7.225 -4.364 0.000
7.225 4.364 0.000
-1.440 0.000 4.340
Sc In Pb
6 5 1
Direct
0.083 0.583 0.333
0.249 0.751 0.000
0.417 0.917 0.667
0.583 0.083 0.333
0.751 0.249 0.000
0.917 0.417 0.667
0.000 0.000 0.500
0.166 0.166 0.166
0.327 0.327 0.827
0.673 0.673 0.173
0.834 0.834 0.834
0.500 0.500 0.500

***

6.
ScIn2Pb, optimized geometry, DFT PBE; E_form = -0.004 eV per atom; crystal system = cubic; density of states at the Fermi level = 3.334 states/eV/cell
1.0
0.000 3.748 3.748
3.748 0.000 3.748
3.748 3.748 0.000
Sc In Pb
1 2 1
Direct
0.000 0.000 0.000
0.250 0.250 0.250
0.500 0.500 0.500
0.750 0.750 0.750

***

7.
ScInPb2, optimized geometry, DFT PBE; E_form = -0.125 eV per atom; crystal system = orthorhombic; density of states at the Fermi level = 3.467 states/eV/cell
1.0
-1.782 2.710 5.538
1.782 -2.710 5.538
1.782 2.710 -5.538
Sc In Pb
1 1 2
Direct
0.000 0.000 0.000
0.230 0.730 0.500
0.486 0.486 0.000
0.757 0.257 0.500

***

8.
Sc2InPb2, optimized geometry, DFT PBE; energy above the most stable polymorph in this dataset = 262 meV per atom; E_form = 0.054 eV per atom; crystal system = tetragonal; density of states at the Fermi level = 4.836 states/eV/cell
1.0
-2.554 2.554 5.867
2.554 -2.554 5.867
2.554 2.554 -5.867
Sc In Pb
2 1 2
Direct
0.250 0.750 0.500
0.750 0.250 0.500
0.000 0.000 0.000
0.375 0.375 0.000
0.625 0.625 0.000

***

9.
ScInPb, optimized geometry, DFT PBE; energy above the most stable polymorph in this dataset = 200 meV per atom; E_form = -0.077 eV per atom; crystal system = cubic; density of states at the Fermi level = 1.082 states/eV/cell
1.0
0.000 3.509 3.509
3.509 0.000 3.509
3.509 3.509 0.000
Sc In Pb
1 1 1
Direct
0.000 0.000 0.000
0.250 0.250 0.250
0.750 0.750 0.750

***

10.
ScInPb2, optimized geometry, DFT PBE; E_form = -0.141 eV per atom; crystal system = monoclinic; density of states at the Fermi level = 2.695 states/eV/cell
1.0
5.896 -1.721 0.000
5.896 1.721 0.000
-1.910 0.000 5.246
Sc In Pb
1 1 2
Direct
0.000 0.000 0.000
0.725 0.725 0.351
0.255 0.255 0.879
0.481 0.481 0.502

***

11.
ScInPb2, optimized geometry, DFT PBE; E_form = -0.160 eV per atom; crystal system = tetragonal; density of states at the Fermi level = 2.455 states/eV/cell
1.0
4.845 0.000 0.000
0.000 4.845 0.000
0.000 0.000 4.486
Sc In Pb
1 1 2
Direct
0.000 0.000 0.000
0.500 0.500 0.000
0.000 0.500 0.500
0.500 0.000 0.500

***

12.
ScInPb2, optimized geometry, DFT PBE; E_form = -0.111 eV per atom; crystal system = orthorhombic; density of states at the Fermi level = 2.850 states/eV/cell
1.0
2.378 -2.382 0.000
2.378 2.382 0.000
0.000 0.000 9.601
Sc In Pb
1 1 2
Direct
0.000 0.000 0.000
0.500 0.500 0.788
0.000 0.000 0.527
0.500 0.500 0.236